{"formula": "Sc4ZnS2", "functional": "PBE", "state": "relaxed", "lattice": [[-1.674, -3.268, 0.122], [6.152, -1.072, 0.384], [-0.642, 0.795, 12.516]], "species": ["Sc", "Sc", "Sc", "Sc", "Sc", "Sc", "Sc", "Sc", "Zn", "Zn", "S", "S", "S", "S"], "fractional_positions": [[0.500, 0.000, 0.500], [0.064, 0.129, 0.250], [0.936, 0.871, 0.750], [0.500, 0.000, 0.000], [0.770, 0.540, 0.379], [0.230, 0.460, 0.621], [0.230, 0.460, 0.879], [0.770, 0.540, 0.121], [0.610, 0.220, 0.750], [0.390, 0.780, 0.250], [0.864, 0.729, 0.559], [0.136, 0.271, 0.059], [0.864, 0.729, 0.941], [0.136, 0.271, 0.441]], "total_energy_ev_per_atom": -6.18, "formation_energy_uncorrected_ev_per_atom": -1.1960}